Here is crystalline Pu2CrTc at its relaxed geometry from Alexandria. Energies are from GGA-PBE.

It has space group P4/mmm (No. 123), with a = 3.385 Å, b = 3.385 Å, c = 6.656 Å, α = 90.00°, β = 90.00° and γ = 90.00°. Symmetry generates all atoms from Pu at (0.000, 0.000, 0.250), Cr at (0.500, 0.500, 0.000) and Tc at (0.500, 0.500, 0.500).

For the calculated formation energy, the calculation gives 0.22 eV/atom. The calculation puts the total energy at -0.439 Ha/atom. The value obtained for the density of states at the Fermi level is 2.126 states/eV per atom. The calculation puts the total magnetization at 6.27 μB/cell. As for the density: 13.90 g/cm³.